This record from the Alexandria database describes a PBEsol-optimized structure of SbIrSe2Br. The functional is SCAN.

abc: 5.1805 5.2328 5.2328
angles: 90.00 90.00 90.00
Each line ends with the local moment (μB).
Element x y z (fractional)
Ir: 0.5000 0.5000 0.5000  2.68
Se: 0.0000 0.5000 0.0000  0.09
Se: 0.0000 0.0000 0.5000  0.09
Sb: 0.0000 0.0000 0.0000  0.01
Br: 0.5000 0.0000 0.0000  0.01

Calculated values
Electronic total energy ... -32.275 eV/atom
Space group ... P4/mmm, No. 123
Energy relative to the elements, uncorrected ... 1.320 eV/atom
DOS(E_F) ... 2.3 states/eV/cell
Crystal system ... tetragonal
M_tot ... 3.3 Bohr magnetons per cell


This record from the Alexandria database describes a PBEsol-optimized structure of BaFeBiAs2. The functional is SCAN.

abc: 5.4061 5.4061 6.3966
angles: 90.00 90.00 90.00
Each line ends with the local moment (μB).
Element x y z (fractional)
Ba: 0.0000 0.0000 0.5000  -0.02
Fe: 0.5000 0.5000 0.5000  3.48
As: 0.5000 0.0000 0.0000  -0.09
As: 0.0000 0.5000 0.0000  -0.09
Bi: 0.0000 0.0000 0.0000  -0.01

Calculated values
Electronic total energy ... -34.418 eV/atom
Energy of formation ... 439 kJ/mol of formula units
Space group ... P4/mmm, No. 123
DOS(E_F) ... 3.3 states/eV/cell
Crystal system ... tetragonal
M_tot ... 3.3 Bohr magnetons per cell


This record from the Alexandria database describes a PBEsol-optimized structure of Sc2FeAu. The functional is SCAN.

abc: 3.1433 3.1433 6.7069
angles: 90.00 90.00 90.00
Element x y z (fractional)
Sc: 0.0000 0.0000 0.7209
Sc: 0.0000 0.0000 0.2791
Au: 0.5000 0.5000 0.0000
Fe: 0.5000 0.5000 0.5000

Calculated values
Electronic total energy ... -29.490 eV/atom
Energy of formation ... -212 kJ/mol of formula units
Space group ... P4/mmm, No. 123
DOS(E_F) ... 1.8 states/eV/cell
Crystal system ... tetragonal
M_tot ... 0.0 Bohr magnetons per cell